Record 1
DFT (PBE-GGA) results for an optimized crystal structure of AcPm2NdY5.

Cell: 10.088 10.088 10.088 Å, 127.67 127.67 77.16°
Sites, in units of the cell vectors:
Ac  0.250  0.750  0.500
Ac  0.750  0.250  0.500
Pm  0.114  0.614  0.729
Pm  0.386  0.114  0.500
Pm  0.614  0.886  0.500
Pm  0.886  0.386  0.271
Nd  0.250  0.250  0.000
Nd  0.750  0.750  0.000
Y  0.000  0.000  0.000
Y  0.080  0.158  0.500
Y  0.158  0.658  0.078
Y  0.342  0.420  0.500
Y  0.420  0.920  0.078
Y  0.500  0.500  0.000
Y  0.580  0.080  0.922
Y  0.658  0.580  0.500
Y  0.842  0.342  0.922
Y  0.920  0.842  0.500

## Properties
Energy relative to the elements, kJ per mole of atoms: 24.05

---

Record 2
DFT (PBE-GGA) results for an optimized crystal structure of HoPaCrSe6.

Cell: 6.757 6.757 6.066 Å, 90.00 90.00 120.00°
Sites, in units of the cell vectors:
Ho  0.000  0.000  0.000
Pa  0.667  0.333  0.500
Cr  0.333  0.667  0.000
Se  0.025  0.366  0.246
Se  0.025  0.659  0.754
Se  0.341  0.366  0.754
Se  0.341  0.975  0.246
Se  0.634  0.659  0.246
Se  0.634  0.975  0.754

## Properties
Energy relative to the elements, uncorrected, meV per atom: -996

---

Record 3
DFT (PBE-GGA) results for an optimized crystal structure of LaZrPt2F.

Cell: 5.390 5.390 4.271 Å, 90.00 90.00 90.00°
Sites, in units of the cell vectors:
La  0.000  0.000  0.000
Zr  0.500  0.500  0.500
Pt  0.000  0.500  0.000
Pt  0.500  0.000  0.000
F  0.000  0.000  0.500

## Properties
Energy relative to the elements, uncorrected, meV per atom: -662

---

Record 4
DFT (PBE-GGA) results for an optimized crystal structure of Cs2GaTeS4.

Cell: 14.064 12.263 8.379 Å, 83.63 60.06 36.31°
Sites, in units of the cell vectors:
Cs  0.048  0.048  0.702
Cs  0.298  0.298  0.952
Cs  0.702  0.702  0.048
Cs  0.952  0.952  0.298
Ga  0.375  0.375  0.375
Ga  0.625  0.625  0.625
Te  0.125  0.125  0.125
Te  0.875  0.875  0.875
S  0.022  0.650  0.525
S  0.304  0.525  0.650
S  0.350  0.978  0.696
S  0.475  0.696  0.978
S  0.525  0.304  0.022
S  0.650  0.022  0.304
S  0.696  0.475  0.350
S  0.978  0.350  0.475

## Properties
Energy relative to the elements, uncorrected, meV per atom: -625

---

Record 5
DFT (PBE-GGA) results for an optimized crystal structure of CsK6Na2H.

Cell: 7.756 7.759 10.941 Å, 70.17 69.86 73.99°
Sites, in units of the cell vectors:
Cs  0.000  0.000  0.000
K  0.199  0.634  0.716
K  0.261  0.261  0.492
K  0.365  0.800  0.285
K  0.635  0.200  0.715
K  0.738  0.740  0.508
K  0.800  0.367  0.284
Na  0.350  0.347  0.084
Na  0.650  0.653  0.916
H  0.499  0.501  0.500

---

Record 6
DFT (PBE-GGA) results for an optimized crystal structure of PmGeRu2N.

Cell: 5.988 5.988 7.316 Å, 90.00 90.00 142.19°
Sites, in units of the cell vectors:
Pm  0.047  0.953  0.750
Pm  0.953  0.047  0.250
Ge  0.230  0.770  0.250
Ge  0.770  0.230  0.750
Ru  0.339  0.661  0.553
Ru  0.339  0.661  0.947
Ru  0.661  0.339  0.053
Ru  0.661  0.339  0.447
N  0.500  0.500  0.000
N  0.500  0.500  0.500

## Properties
Energy relative to the elements, uncorrected, meV per atom: -631

---

Record 7
DFT (PBE-GGA) results for an optimized crystal structure of Tb4Ho7In.

Cell: 6.702 6.702 12.305 Å, 112.60 112.60 51.52°
Sites, in units of the cell vectors:
Tb  0.130  0.130  0.270
Tb  0.347  0.347  0.875
Tb  0.653  0.653  0.125
Tb  0.870  0.870  0.730
Ho  0.000  0.000  0.500
Ho  0.131  0.131  0.977
Ho  0.299  0.299  0.579
Ho  0.403  0.403  0.221
Ho  0.597  0.597  0.779
Ho  0.701  0.701  0.421
Ho  0.869  0.869  0.023
In  0.500  0.500  0.500

## Properties
Energy relative to the elements, kJ per mole of atoms: 18.61

---

Record 8
DFT (PBE-GGA) results for an optimized crystal structure of RbZr2Br8.

Cell: 10.008 10.008 5.406 Å, 90.00 90.00 120.00°
Sites, in units of the cell vectors:
Rb  0.000  0.000  0.000
Zr  0.333  0.667  0.264
Zr  0.667  0.333  0.736
Br  0.184  0.372  0.270
Br  0.188  0.816  0.270
Br  0.333  0.667  0.766
Br  0.372  0.188  0.730
Br  0.628  0.812  0.270
Br  0.667  0.333  0.234
Br  0.812  0.184  0.730
Br  0.816  0.628  0.730

## Properties
Energy relative to the elements, uncorrected, meV per atom: -1317

---

Record 9
DFT (PBE-GGA) results for an optimized crystal structure of MnFeTe2N.

Cell: 5.290 5.290 3.404 Å, 90.00 90.00 90.00°
Sites, in units of the cell vectors:
Mn  0.000  0.000  0.000
Fe  0.500  0.500  0.500
Te  0.000  0.500  0.500
Te  0.500  0.000  0.500
N  0.500  0.500  0.000

## Properties
Energy relative to the elements, uncorrected, meV per atom: 315

---

Record 10
DFT (PBE-GGA) results for an optimized crystal structure of HfTiH2Pb.

Cell: 4.111 4.111 6.296 Å, 90.00 90.00 90.00°
Sites, in units of the cell vectors:
Hf  0.000  0.000  0.000
Ti  0.500  0.500  0.000
H  0.000  0.500  0.500
H  0.500  0.000  0.500
Pb  0.000  0.000  0.500

---

Record 11
DFT (PBE-GGA) results for an optimized crystal structure of CaGe2.

Cell: 4.042 4.042 10.194 Å, 90.00 90.00 120.00°
Sites, in units of the cell vectors:
Ca  0.333  0.667  0.000
Ca  0.667  0.333  0.500
Ge  0.000  0.000  0.207
Ge  0.000  0.000  0.707
Ge  0.333  0.667  0.313
Ge  0.667  0.333  0.813

## Properties
Energy relative to the elements, kJ per mole of atoms: -46.90

---

Record 12
DFT (PBE-GGA) results for an optimized crystal structure of BaAgPbBr5.

Cell: 8.068 8.068 10.278 Å, 100.84 100.84 108.83°
Sites, in units of the cell vectors:
Ba  0.128  0.872  0.750
Ba  0.872  0.128  0.250
Ag  0.176  0.824  0.250
Ag  0.824  0.176  0.750
Pb  0.500  0.500  0.000
Pb  0.500  0.500  0.500
Br  0.107  0.227  0.964
Br  0.156  0.545  0.364
Br  0.227  0.107  0.464
Br  0.381  0.619  0.750
Br  0.455  0.844  0.136
Br  0.545  0.156  0.864
Br  0.619  0.381  0.250
Br  0.773  0.893  0.536
Br  0.844  0.455  0.636
Br  0.893  0.773  0.036

## Properties
Energy relative to the elements, uncorrected, meV per atom: -1213

---

| no. | total energy (eV per atom) |
| --- | --- |
| 1 | -5.384 |
| 2 | -5.952 |
| 3 | -6.148 |
| 4 | -3.673 |
| 5 | -1.327 |
| 6 | -7.880 |
| 7 | -4.249 |
| 8 | -4.176 |
| 9 | -6.133 |
| 10 | -4.624 |
| 11 | -4.232 |
| 12 | -3.319 |